The following is a DFT calculation (PBE) of FeReP after structural relaxation.

Results
* calculated volume: 36.88 Å³/cell
* E above lowest polymorph: 62.7 meV per atom
* ΔH_f (0 K): -14 meV/atom

Lattice parameters (Å, degrees): 3.9462 3.9462 2.7350 90.00 90.00 120.00
Space group P3m1 (No. 156)
Inequivalent atoms, fractional coordinates:
Fe (0.0000, 0.0000, 0.0000) x1
Re (0.3333, 0.6667, 0.4819) x1
P (0.6667, 0.3333, 0.1654) x1